[1]
Here is crystalline ScZnW2 at its relaxed geometry from the Alexandria database. Energies are from PBE.

abc: 3.849 3.849 4.524
angles: 90.00 90.00 90.00
Element x y z (fractional)
Sc1 0.000 0.000 0.000
Zn1 0.500 0.500 0.000
W1 0.000 0.500 0.500
W2 0.500 0.000 0.500

## Properties
- DFT formation energy (meV per atom) = 191.2
- crystal system = tetragonal
- symmetry = P4/mmm, No. 123

***

[2]
Here is crystalline Sc2ZnW at its relaxed geometry from the Alexandria database. Energies are from PBE.

abc: 5.833 5.833 5.833
angles: 149.72 130.15 59.45
Element x y z (fractional)
Sc1 0.000 0.000 0.000
Sc2 0.708 0.208 0.500
Zn1 0.464 0.464 0.000
W1 0.247 0.747 0.500

## Properties
- DFT formation energy (meV per atom) = 113.7
- crystal system = orthorhombic
- symmetry = Imm2, No. 44

***

[3]
Here is crystalline Sc2ZnW at its relaxed geometry from the Alexandria database. Energies are from PBE.

abc: 3.323 3.323 7.143
angles: 90.00 90.00 90.00
Element x y z (fractional)
Sc1 0.000 0.000 0.000
Sc2 0.500 0.500 0.360
Zn1 0.500 0.500 0.777
W1 0.000 0.000 0.598

## Properties
- DFT formation energy (meV per atom) = 198.9
- crystal system = tetragonal
- symmetry = P4mm, No. 99

***

[4]
Here is crystalline ScZn2W at its relaxed geometry from the Alexandria database. Energies are from PBE.

abc: 5.143 5.143 5.143
angles: 135.60 135.60 64.60
Element x y z (fractional)
Sc1 0.000 0.000 0.000
Zn1 0.500 0.500 0.000
Zn2 0.750 0.250 0.500
W1 0.250 0.750 0.500

## Properties
- DFT formation energy (meV per atom) = 157.8
- crystal system = tetragonal
- symmetry = I-4m2, No. 119

***

[5]
Here is crystalline ScZn2W at its relaxed geometry from the Alexandria database. Energies are from PBE.

abc: 2.903 4.244 5.539
angles: 90.00 104.27 90.00
Element x y z (fractional)
Sc1 0.000 0.000 0.000
Zn1 0.262 0.000 0.506
Zn2 0.386 0.500 0.768
W1 0.649 0.500 0.293

## Properties
- DFT formation energy (meV per atom) = 113.1
- crystal system = monoclinic
- symmetry = Pm, No. 6

***

[6]
Here is crystalline ScZnW2 at its relaxed geometry from the Alexandria database. Energies are from PBE.

abc: 5.907 5.907 5.907
angles: 100.86 100.86 128.54
Element x y z (fractional)
Sc1 0.000 0.000 0.000
Sc2 0.750 0.250 0.500
Zn1 0.250 0.750 0.500
Zn2 0.500 0.500 0.000
W1 0.162 0.625 0.037
W2 0.375 0.412 0.537
W3 0.588 0.125 0.963
W4 0.875 0.838 0.463

## Properties
- DFT formation energy (meV per atom) = 826.3
- crystal system = tetragonal
- symmetry = I-42d, No. 122

***

[7]
Here is crystalline ScZnW2 at its relaxed geometry from the Alexandria database. Energies are from PBE.

abc: 2.792 4.790 5.113
angles: 90.00 97.49 90.00
Element x y z (fractional)
Sc1 0.000 0.000 0.000
Zn1 0.500 0.000 0.500
W1 0.303 0.500 0.756
W2 0.697 0.500 0.244

## Properties
- DFT formation energy (meV per atom) = 236.4
- crystal system = monoclinic
- symmetry = P2/m, No. 10

***

[8]
Here is crystalline Sc2ZnW at its relaxed geometry from the Alexandria database. Energies are from PBE.

abc: 5.438 5.438 5.072
angles: 104.00 104.00 31.41
Element x y z (fractional)
Sc1 0.000 0.000 0.000
Sc2 0.202 0.202 0.633
Zn1 0.451 0.451 0.473
W1 0.750 0.750 0.159

## Properties
- DFT formation energy (meV per atom) = 80.4
- crystal system = monoclinic
- symmetry = Cm, No. 8

***

[9]
Here is crystalline ScZnW2 at its relaxed geometry from the Alexandria database. Energies are from PBE.

abc: 5.376 5.376 5.376
angles: 143.04 133.02 61.22
Element x y z (fractional)
Sc1 0.000 0.000 0.000
Zn1 0.500 0.500 0.000
W1 0.254 0.754 0.500
W2 0.746 0.246 0.500

## Properties
- DFT formation energy (meV per atom) = 217.2
- crystal system = orthorhombic
- symmetry = Immm, No. 71

***

[10]
Here is crystalline Sc2ZnW at its relaxed geometry from the Alexandria database. Energies are from PBE.

abc: 4.679 4.679 4.679
angles: 60.00 60.00 60.00
Element x y z (fractional)
Sc1 0.000 0.000 0.000
Sc2 0.250 0.250 0.250
Zn1 0.500 0.500 0.500
W1 0.750 0.750 0.750

## Properties
- DFT formation energy (meV per atom) = 298.7
- crystal system = cubic
- symmetry = F-43m, No. 216

***

[11]
Here is crystalline ScZnW2 at its relaxed geometry from the Alexandria database. Energies are from PBE.

abc: 5.268 5.268 2.729
angles: 90.00 90.00 117.06
Element x y z (fractional)
Sc1 0.000 0.000 0.000
Zn1 0.500 0.500 0.000
W1 0.000 0.500 0.500
W2 0.500 0.000 0.500

## Properties
- DFT formation energy (meV per atom) = 329.3
- crystal system = orthorhombic
- symmetry = Cmmm, No. 65

***

[12]
Here is crystalline ScZnW2 at its relaxed geometry from the Alexandria database. Energies are from PBE.

abc: 4.870 4.870 5.258
angles: 94.90 94.90 32.97
Element x y z (fractional)
Sc1 0.000 0.000 0.000
Zn1 0.747 0.747 0.234
W1 0.239 0.239 0.719
W2 0.482 0.482 0.494

## Properties
- DFT formation energy (meV per atom) = 273.4
- crystal system = monoclinic
- symmetry = Cm, No. 8

***

[13]
Here is crystalline ScZn2W at its relaxed geometry from the Alexandria database. Energies are from PBE.

abc: 4.975 2.860 5.058
angles: 90.00 110.51 90.00
Element x y z (fractional)
Sc1 0.000 0.000 0.000
Zn1 0.500 0.000 0.500
Zn2 0.500 0.500 0.000
W1 0.000 0.500 0.500

## Properties
- DFT formation energy (meV per atom) = 183.1
- crystal system = monoclinic
- symmetry = P2/m, No. 10

***

[14]
Here is crystalline ScZnW at its relaxed geometry from the Alexandria database. Energies are from PBE.

abc: 6.896 6.838 2.802
angles: 79.39 77.07 23.54
Element x y z (fractional)
Sc1 0.000 0.000 0.000
Zn1 0.671 0.671 0.329
W1 0.327 0.327 0.673

## Properties
- DFT formation energy (meV per atom) = 111.1
- crystal system = orthorhombic
- symmetry = Fmm2, No. 42

***

[15]
Here is crystalline ScZn2W at its relaxed geometry from the Alexandria database. Energies are from PBE.

abc: 4.984 4.984 5.093
angles: 98.75 98.75 32.94
Element x y z (fractional)
Sc1 0.000 0.000 0.000
Zn1 0.244 0.244 0.723
Zn2 0.756 0.756 0.277
W1 0.500 0.500 0.500

## Properties
- DFT formation energy (meV per atom) = 164.7
- crystal system = monoclinic
- symmetry = C2/m, No. 12

***

[16]
Here is crystalline ZrScZn2W at its relaxed geometry from the Alexandria database. Energies are from PBE.

abc: 4.898 4.898 4.678
angles: 90.00 90.00 90.00
Element x y z (fractional)
Zr1 0.000 0.000 0.000
Sc1 0.500 0.500 0.000
Zn1 0.000 0.500 0.500
Zn2 0.500 0.000 0.500
W1 0.500 0.500 0.500

## Properties
- DFT formation energy (meV per atom) = 924.3
- crystal system = tetragonal
- symmetry = P4/mmm, No. 123

***

[17]
Here is crystalline ZrScW2 at its relaxed geometry from the Alexandria database. Energies are from PBE.

abc: 6.018 6.018 6.018
angles: 102.19 102.19 125.29
Element x y z (fractional)
Zr1 0.000 0.000 0.000
Zr2 0.750 0.250 0.500
Sc1 0.250 0.750 0.500
Sc2 0.500 0.500 0.000
W1 0.127 0.625 0.002
W2 0.375 0.377 0.502
W3 0.623 0.125 0.998
W4 0.875 0.873 0.498

## Properties
- DFT formation energy (meV per atom) = 935.8
- crystal system = tetragonal
- symmetry = I-42d, No. 122

***

[18]
Here is crystalline ZrSc2W at its relaxed geometry from the Alexandria database. Energies are from PBE.

abc: 2.934 2.934 10.024
angles: 90.00 90.00 105.84
Element x y z (fractional)
Zr1 0.000 0.000 0.000
Sc1 0.500 0.500 0.278
Sc2 0.500 0.500 0.722
W1 0.000 0.000 0.500

## Properties
- DFT formation energy (meV per atom) = 216.5
- crystal system = orthorhombic
- symmetry = Cmmm, No. 65

***

[19]
Here is crystalline Zr2ScW2 at its relaxed geometry from the Alexandria database. Energies are from PBE.

abc: 6.825 6.825 6.825
angles: 143.86 143.86 52.04
Element x y z (fractional)
Zr1 0.250 0.750 0.500
Zr2 0.750 0.250 0.500
Sc1 0.000 0.000 0.000
W1 0.402 0.402 0.000
W2 0.598 0.598 0.000

## Properties
- DFT formation energy (meV per atom) = 603.9
- crystal system = tetragonal
- symmetry = I4/mmm, No. 139

***

[20]
Here is crystalline ZrScW2 at its relaxed geometry from the Alexandria database. Energies are from PBE.

abc: 5.553 5.553 2.854
angles: 99.76 99.76 117.83
Element x y z (fractional)
Zr1 0.000 0.000 0.000
Sc1 0.500 0.500 0.000
W1 0.000 0.500 0.500
W2 0.500 0.000 0.500

## Properties
- DFT formation energy (meV per atom) = 251.7
- crystal system = monoclinic
- symmetry = C2/m, No. 12